[1]
VASP calculation (GGA-PBE) on Sm2CoRu after structural relaxation.

Its magnetization is 0.112 μB per atom. The value obtained for the energy is -6.554 eV per atom. The calculation puts the energy of formation from the pure elements at -0.0994 eV per atom.

The space group is P4/mmm (No. 123) and the conventional cell measures 3.4612, 3.4612 and 6.8363 Å, with angles of 90.00, 90.00 and 90.00 degrees. The asymmetric unit holds Sm at (0.0000, 0.0000, 0.2482), Co at (0.5000, 0.5000, 0.0000) and Ru at (0.5000, 0.5000, 0.5000).

---

[2]
VASP calculation (GGA-PBE) on Pm5Pr6Er after structural relaxation.

Its magnetization is 0.000 μB per atom. The value obtained for the energy is -4.737 eV per atom. The calculation puts the energy of formation from the pure elements at 0.0125 eV per atom.

The space group is C2/m (No. 12) and the conventional cell measures 6.3695, 11.0336 and 12.1299 Å, with angles of 90.00, 100.11 and 90.00 degrees. The asymmetric unit holds Pm at (0.0000, 0.0000, 0.0000), Pm at (0.0000, 0.1668, 0.5000), Pm at (0.0000, 0.3335, 0.0000), Pr at (0.2490, 0.3339, 0.7487), Pr at (0.2494, 0.5000, 0.2511) and Er at (0.0000, 0.5000, 0.5000).

---

[3]
VASP calculation (GGA-PBE) on Ac6PdRu2Pt after structural relaxation.

Its magnetization is 0.000 μB per atom. The value obtained for the energy is -5.916 eV per atom. The calculation puts the energy of formation from the pure elements at -0.4720 eV per atom.

The space group is P1 (No. 1) and the conventional cell measures 7.5045, 7.5174 and 8.1700 Å, with angles of 62.63, 62.66 and 60.07 degrees. The asymmetric unit holds Ac at (0.0000, 0.0000, 0.0000), Ac at (0.1469, 0.8449, 0.5026), Ac at (0.3411, 0.3477, 0.0002), Ac at (0.4952, 0.1938, 0.5031), Ac at (0.6513, 0.6893, 0.0006), Ac at (0.8439, 0.4961, 0.5027), Pd at (0.5766, 0.9258, 0.2616), Ru at (0.2494, 0.5981, 0.2430), Ru at (0.7460, 0.0951, 0.7522) and Pt at (0.0753, 0.4253, 0.7631).

---

[4]
VASP calculation (GGA-PBE) on AlIn2Ag after structural relaxation.

Its magnetization is 0.000 μB per atom. The value obtained for the energy is -2.888 eV per atom. The calculation puts the energy of formation from the pure elements at 0.1292 eV per atom.

The space group is P2/m (No. 10) and the conventional cell measures 3.1398, 4.2228 and 6.5145 Å, with angles of 90.00, 91.98 and 90.00 degrees. The asymmetric unit holds Al at (0.0000, 0.0000, 0.0000), In at (0.4992, 0.5000, 0.2512) and Ag at (0.0000, 0.0000, 0.5000).

---

[5]
VASP calculation (GGA-PBE) on NdSmGeS after structural relaxation.

Its magnetization is 0.000 μB per atom. The value obtained for the energy is -6.007 eV per atom. Its formation energy (no corrections) is -1449.4 meV per atom.

The space group is R3m (No. 160, hexagonal axes) and the conventional cell measures 4.1653, 4.1653 and 20.5222 Å, with angles of 90.00, 90.00 and 120.00 degrees. The asymmetric unit holds Nd at (0.0000, 0.0000, 0.0000), Sm at (0.0000, 0.0000, 0.5011), Ge at (0.0000, 0.0000, 0.7516) and S at (0.0000, 0.0000, 0.2492).